--- i ---
Density functional theory data (PBE) for NaFeSiAs after structural relaxation.

It has space group F-43m (No. 216), with a = 6.4402 Å, b = 6.4402 Å, c = 6.4402 Å, α = 90.00°, β = 90.00° and γ = 90.00°. Symmetry generates all atoms from Na at (0.0000, 0.0000, 0.0000), Fe at (0.2500, 0.2500, 0.2500), Si at (0.2500, 0.2500, 0.7500) and As at (0.0000, 0.0000, 0.5000).

The value obtained for the calculated volume is 267 Å³ per cell.


--- ii ---
Density functional theory data (PBE) for NaFeSiAs after structural relaxation.

It has space group F-43m (No. 216), with a = 6.2446 Å, b = 6.2446 Å, c = 6.2446 Å, α = 90.00°, β = 90.00° and γ = 90.00°. Symmetry generates all atoms from Na at (0.0000, 0.0000, 0.0000), Fe at (0.0000, 0.0000, 0.5000), Si at (0.2500, 0.2500, 0.7500) and As at (0.2500, 0.2500, 0.2500).

The value obtained for the calculated volume is 244 Å³ per cell.


--- iii ---
Density functional theory data (PBE) for NaFeSiAs after structural relaxation.

It has space group F-43m (No. 216), with a = 6.3533 Å, b = 6.3533 Å, c = 6.3533 Å, α = 90.00°, β = 90.00° and γ = 90.00°. Symmetry generates all atoms from Na at (0.0000, 0.0000, 0.0000), Fe at (0.2500, 0.2500, 0.2500), Si at (0.0000, 0.0000, 0.5000) and As at (0.2500, 0.2500, 0.7500).

The value obtained for the calculated volume is 256 Å³ per cell.


Least stable: i


--- i ---
Density functional theory data (PBE) for NbFeNiAs after structural relaxation.

It has space group F-43m (No. 216), with a = 6.0357 Å, b = 6.0357 Å, c = 6.0357 Å, α = 90.00°, β = 90.00° and γ = 90.00°. Symmetry generates all atoms from Nb at (0.0000, 0.0000, 0.0000), Fe at (0.0000, 0.0000, 0.5000), Ni at (0.2500, 0.2500, 0.7500) and As at (0.2500, 0.2500, 0.2500).

The value obtained for the calculated volume is 220 Å³ per cell.


--- ii ---
Density functional theory data (PBE) for NbFeNiAs after structural relaxation.

It has space group F-43m (No. 216), with a = 6.0591 Å, b = 6.0591 Å, c = 6.0591 Å, α = 90.00°, β = 90.00° and γ = 90.00°. Symmetry generates all atoms from Nb at (0.0000, 0.0000, 0.0000), Fe at (0.2500, 0.2500, 0.7500), Ni at (0.0000, 0.0000, 0.5000) and As at (0.2500, 0.2500, 0.2500).

The value obtained for the calculated volume is 222 Å³ per cell.


Least stable: ii


--- i ---
Density functional theory data (PBE) for NbFeAsPt after structural relaxation.

It has space group F-43m (No. 216), with a = 6.2773 Å, b = 6.2773 Å, c = 6.2773 Å, α = 90.00°, β = 90.00° and γ = 90.00°. Symmetry generates all atoms from Nb at (0.0000, 0.0000, 0.0000), Fe at (0.0000, 0.0000, 0.5000), As at (0.2500, 0.2500, 0.2500) and Pt at (0.2500, 0.2500, 0.7500).

The value obtained for the calculated volume is 247 Å³ per cell.


--- ii ---
Density functional theory data (PBE) for NbFeAsPt after structural relaxation.

It has space group F-43m (No. 216), with a = 6.3260 Å, b = 6.3260 Å, c = 6.3260 Å, α = 90.00°, β = 90.00° and γ = 90.00°. Symmetry generates all atoms from Nb at (0.0000, 0.0000, 0.0000), Fe at (0.2500, 0.2500, 0.7500), As at (0.0000, 0.0000, 0.5000) and Pt at (0.2500, 0.2500, 0.2500).

The value obtained for the calculated volume is 253 Å³ per cell.


Least stable: ii


--- i ---
Density functional theory data (PBE) for YNbFeAs after structural relaxation.

It has space group F-43m (No. 216), with a = 6.5336 Å, b = 6.5336 Å, c = 6.5336 Å, α = 90.00°, β = 90.00° and γ = 90.00°. Symmetry generates all atoms from Y at (0.0000, 0.0000, 0.0000), Nb at (0.2500, 0.2500, 0.7500), Fe at (0.0000, 0.0000, 0.5000) and As at (0.2500, 0.2500, 0.2500).

The value obtained for the calculated volume is 279 Å³ per cell.


--- ii ---
Density functional theory data (PBE) for YNbFeAs after structural relaxation.

It has space group F-43m (No. 216), with a = 6.4908 Å, b = 6.4908 Å, c = 6.4908 Å, α = 90.00°, β = 90.00° and γ = 90.00°. Symmetry generates all atoms from Y at (0.0000, 0.0000, 0.0000), Nb at (0.2500, 0.2500, 0.2500), Fe at (0.2500, 0.2500, 0.7500) and As at (0.0000, 0.0000, 0.5000).

The value obtained for the calculated volume is 273 Å³ per cell.


Least stable: i